## BeAu5 (GGA-PBEsol)

Data for BeAu5 after structural relaxation.

Cell lengths 2.865, 2.865, 11.309 Å; angles 90.00, 90.00, 90.00 degrees
Fractional coordinates of all 6 atoms:
Be1 0.500 0.500 0.000
Au1 0.000 0.000 0.872
Au2 0.000 0.000 0.128
Au3 0.500 0.500 0.684
Au4 0.500 0.500 0.316
Au5 0.000 0.000 0.500

## Properties
**N(E_F)**: 0.196 states/eV per atom
**Spin magnetization**: 0.000 Bohr magnetons per cell
**Formation energy from the elements**: -0.09 eV per atom
**Excess energy over the best structure of this formula in the dataset**: 0.00 kcal/mol of atoms
**Volume**: 92.8 Å³ per cell
**Uncorrected energy**: -24.150 eV/f.u.